# 1
An optimized crystal structure of HoMg2Hg2, computed with PBE.

## Properties
- Final energy: -1.960 eV/atom
- Theoretical density: 8.7 g/cm³
- ΔE_f: -286 meV per atom

a = 3.5735 Å, b = 5.0006 Å, c = 13.1125 Å
α = 90.00°, β = 90.00°, γ = 90.00°
Last column: nearest neighbours and their distance in Å.
Space group Pmmn (No. 59, origin choice 2)
Inequivalent atoms, fractional coordinates:
Ho: 0.2500 0.2500 0.2449  6 Hg 3.23-3.31, 6 Mg 3.40-3.44, 2 Ho 3.57
Mg: 0.2500 0.2500 0.6365  5 Hg 2.75-3.02
Mg: 0.2500 0.7500 0.9754  4 Hg 2.92-3.01, 4 Mg 3.14
Hg: 0.2500 0.2500 0.8480  5 Mg 2.77-3.01
Hg: 0.2500 0.7500 0.5495  4 Mg 2.75-3.02

***

# 2
An optimized crystal structure of HPd3Pt, computed with PBE.

## Properties
- Final energy: -4.996 eV/atom
- Theoretical density: 13.0 g/cm³

a = 4.9295 Å, b = 5.7326 Å, c = 4.9428 Å
α = 90.00°, β = 109.62°, γ = 90.00°
Last column: nearest neighbours and their distance in Å.
Space group P2 (No. 3)
Inequivalent atoms, fractional coordinates:
H: 0.1163 0.0000 0.3799  3 Pd 1.77-1.85, 1 Pt 1.78, 1 H 1.91
Pd: 0.0000 0.4882 0.0000  4 Pt 2.79-2.84, 8 Pd 2.82-2.88
Pd: 0.0000 0.7243 0.5000  2 H 1.85
Pd: 0.0000 0.9856 0.0000  2 H 1.77
Pd: 0.5000 0.2415 0.0000  8 Pd 2.81-2.92, 4 Pt 2.84-2.85
Pd: 0.5000 0.7316 0.0000  10 Pd 2.81-2.92, 2 Pt 2.84
Pd: 0.5000 0.9841 0.5000  2 H 1.78
Pt: 0.0000 0.2628 0.5000  2 H 1.78
Pt: 0.5000 0.4865 0.5000  2 Pt 2.78, 10 Pd 2.82-2.88

***

Question: Number 1 is which compound?
Answer: HoMg2Hg2